The following is a PBE-GGA calculation of InAg5Te4Cl2 after structural relaxation, from Alexandria via LeMat-Bulk.

abc: 6.6238 7.2241 8.2083
angles: 90.00 90.00 117.29
With the nearest neighbours (Å) after each atom.
Sites, in units of the cell vectors:
1 Te 0.6745 0.0000 0.2734  3 Ag 2.76-2.78, 1 In 2.82
2 Te 0.3946 0.3875 0.0000  1 In 2.87, 4 Ag 2.87-2.89
3 Te 0.0071 0.6125 0.0000  1 In 2.87, 4 Ag 2.87-2.89
4 Te 0.6745 0.0000 0.7266  3 Ag 2.76-2.78, 1 In 2.82
5 Ag 0.7090 0.6341 0.7518  1 Cl 2.70, 3 Te 2.76-2.89
6 Ag 0.3630 0.0000 0.5000  2 Cl 2.65, 2 Te 2.78
7 Ag 0.7090 0.6341 0.2482  1 Cl 2.70, 3 Te 2.76-2.89
8 Ag 0.0749 0.3659 0.2482  1 Cl 2.70, 3 Te 2.76-2.89
9 Ag 0.0749 0.3659 0.7518  1 Cl 2.70, 3 Te 2.76-2.89
10 Cl 0.3302 0.3518 0.5000  3 Ag 2.65-2.70
11 Cl 0.9784 0.6482 0.5000  3 Ag 2.65-2.70
12 In 0.4155 0.0000 0.0000  4 Te 2.82-2.87

Computed properties:
uncorrected formation energy = -185 meV per atom
space group = Amm2, No. 38

The following is a PBE-GGA calculation of In2AgTe3Cl after structural relaxation, from Alexandria via LeMat-Bulk.

abc: 4.3103 4.3103 11.4115
angles: 90.00 90.00 90.00
With the nearest neighbours (Å) after each atom.
Sites, in units of the cell vectors:
1 In 0.5000 0.5000 0.7303  1 Cl 2.63
2 In 0.5000 0.5000 0.2697  1 Cl 2.63
3 Te 0.0000 0.0000 0.2447  1 Ag 2.79, 4 In 3.06
4 Te 0.0000 0.0000 0.7553  1 Ag 2.79, 4 In 3.06
5 Te 0.5000 0.5000 0.0000  4 Ag 3.05, 2 In 3.08
6 Ag 0.0000 0.0000 0.0000  6 Te 2.79-3.05
7 Cl 0.5000 0.5000 0.5000  2 In 2.63

Computed properties:
uncorrected formation energy = -319 meV per atom
space group = P4/mmm, No. 123

Question: Number 1 is which compound?
Answer: InAg5Te4Cl2

Question: Which of these has the lowest uncorrected formation energy?
Answer: In2AgTe3Cl

Question: Among the records above, which one has the lowest uncorrected formation energy?
Answer: In2AgTe3Cl